No. 1
Density functional theory data (PBE) for crystalline Y2ZrTl at its relaxed geometry.

Values from the calculation:
**Energy above the lowest structure with this stoichiometry**: 41 meV per atom
**E_form**: -0.094 eV per atom

a b c (Å): 4.664 4.757 4.757
angles (deg): 90.00 90.00 90.00
Fractional positions:
Y (0.000, 0.500, 0.500)
Y (0.000, 0.000, 0.000)
Zr (0.500, 0.500, 0.000)
Tl (0.500, 0.000, 0.500)

No. 2
Density functional theory data (PBE) for crystalline Ca2Be3 at its relaxed geometry.

Values from the calculation:
**E_form**: 0.488 eV per atom

a b c (Å): 8.147 8.147 8.147
angles (deg): 28.10 28.10 28.10
Fractional positions:
Be (0.165, 0.165, 0.165)
Be (0.000, 0.000, 0.000)
Be (0.835, 0.835, 0.835)
Ca (0.585, 0.585, 0.585)
Ca (0.415, 0.415, 0.415)

No. 3
Density functional theory data (PBE) for crystalline Er2Al2Ge3 at its relaxed geometry.

Values from the calculation:
**Energy above the lowest structure with this stoichiometry**: 0 meV per atom
**E_form**: -0.530 eV per atom

a b c (Å): 4.159 7.786 9.661
angles (deg): 83.61 77.57 74.51
Fractional positions:
Al (0.051, 0.207, 0.690)
Al (0.949, 0.793, 0.310)
Al (0.404, 0.526, 0.667)
Al (0.596, 0.474, 0.333)
Ge (0.095, 0.934, 0.876)
Ge (0.833, 0.508, 0.825)
Ge (0.905, 0.066, 0.124)
Ge (0.616, 0.233, 0.535)
Ge (0.384, 0.767, 0.465)
Ge (0.167, 0.492, 0.175)
Er (0.268, 0.129, 0.335)
Er (0.405, 0.247, 0.943)
Er (0.732, 0.871, 0.665)
Er (0.595, 0.753, 0.057)

No. 4
Density functional theory data (PBE) for crystalline HfBAu at its relaxed geometry.

Values from the calculation:
**E_form**: 0.029 eV per atom

a b c (Å): 4.331 4.331 6.501
angles (deg): 70.54 70.54 60.00
Fractional positions:
Au (0.868, 0.868, 0.395)
Au (0.132, 0.132, 0.605)
Hf (0.611, 0.611, 0.166)
Hf (0.389, 0.389, 0.834)
B (0.739, 0.739, 0.784)
B (0.261, 0.261, 0.216)

No. 5
Density functional theory data (PBE) for crystalline BaTe2Br at its relaxed geometry.

Values from the calculation:
**Energy above the lowest structure with this stoichiometry**: 1455 meV per atom

a b c (Å): 11.565 11.565 11.565
angles (deg): 19.26 19.26 19.26
Each line ends with the local moment (μB).
Fractional positions:
Br (0.500, 0.500, 0.500)  -0.01
Ba (0.000, 0.000, 0.000)  0.19
Te (0.097, 0.097, 0.097)  -0.02
Te (0.903, 0.903, 0.903)  -0.02

No. 6
Density functional theory data (PBE) for crystalline YZr2ZnO at its relaxed geometry.

Values from the calculation:
**E_tot**: -7.075 eV per atom

a b c (Å): 4.460 4.460 4.711
angles (deg): 90.00 90.00 90.00
Fractional positions:
Zr (0.000, 0.500, 0.000)
Zr (0.500, 0.000, 0.000)
O (0.000, 0.000, 0.000)
Y (0.000, 0.000, 0.500)
Zn (0.500, 0.500, 0.500)

No. 7
Density functional theory data (PBE) for crystalline NaEuHoSn at its relaxed geometry.

Values from the calculation:
**E_form**: -0.293 eV per atom

a b c (Å): 5.469 5.469 5.469
angles (deg): 60.00 60.00 60.00
Each line ends with the local moment (μB).
Fractional positions:
Ho (0.500, 0.500, 0.500)  -0.21
Eu (0.000, 0.000, 0.000)  -6.93
Sn (0.250, 0.250, 0.250)  0.04
Na (0.750, 0.750, 0.750)  -0.01

Please write out number 5 again, unchanged.
Density functional theory data (PBE) for crystalline BaTe2Br at its relaxed geometry.

Values from the calculation:
**Energy above the lowest structure with this stoichiometry**: 1455 meV per atom

a b c (Å): 11.565 11.565 11.565
angles (deg): 19.26 19.26 19.26
Each line ends with the local moment (μB).
Fractional positions:
Br (0.500, 0.500, 0.500)  -0.01
Ba (0.000, 0.000, 0.000)  0.19
Te (0.097, 0.097, 0.097)  -0.02
Te (0.903, 0.903, 0.903)  -0.02